DFT (GGA+U) results for HgMoNO2 after structural relaxation.

Geometry as extended XYZ:
```
5
Lattice="3.9258 0.0000 0.0000 0.0000 3.9258 0.0000 0.0000 0.0000 4.1647" Properties=species:S:1:pos:R:3 pbc="T T T"
Mo 0.0000 0.0000 0.0000
Hg 1.9629 1.9629 2.0824
O 0.0000 1.9629 0.0000
O 1.9629 0.0000 0.0000
N 0.0000 0.0000 2.0824
```

Values from the calculation:
* raw total energy: -27.08 eV per cell